A relaxed structure of ZrMnNb2O, computed with PBE+U.

abc: 4.9331 3.5197 4.9331
angles: 90.00 90.00 90.00
With the nearest neighbours (Å) after each atom.
Element x y z (fractional)
Nb  0.0000  0.0000  0.5000  2 Mn 2.47
Nb  0.5000  0.0000  0.0000  2 Mn 2.47
Mn  0.0000  0.0000  0.0000  2 O 1.76
O  0.0000  0.5000  0.0000  2 Mn 1.76
Zr  0.5000  0.5000  0.5000  8 Nb 3.03

Summary:
- total magnetic moment (μB/f.u.) = 0.00
- electronic total energy (eV per atom) = -7.38
- volume (Å³/cell) = 85.7